# 1
Entry from Alexandria via LeMat-Bulk: an optimized crystal structure of SrNbRuW2 (PBE).

a = 4.773 Å, b = 5.104 Å, c = 4.773 Å
α = 90.00°, β = 90.00°, γ = 90.00°
Element x y z (fractional)
W (0.000, 0.000, 0.500)
W (0.500, 0.000, 0.000)
Ru (0.000, 0.000, 0.000)
Nb (0.500, 0.500, 0.500)
Sr (0.000, 0.500, 0.000)

## Properties
**Volume**: 23.3 Å³ per atom
**E_form**: 1.85 eV per atom
**Symmetry**: P4/mmm (123)

---

# 2
Entry from Alexandria via LeMat-Bulk: an optimized crystal structure of Ta5NbRu2 (PBE).

a = 7.917 Å, b = 5.534 Å, c = 4.509 Å
α = 89.94°, β = 124.66°, γ = 116.69°
Element x y z (fractional)
Ta (0.224, 0.698, 0.724)
Ta (0.724, 0.194, 0.224)
Ta (0.967, 0.692, 0.967)
Ta (0.475, 0.696, 0.475)
Ta (0.468, 0.192, 0.468)
Nb (0.974, 0.195, 0.974)
Ru (0.225, 0.196, 0.725)
Ru (0.721, 0.691, 0.221)

## Properties
**Volume**: 17.0 Å³ per atom
**E_form**: -0.17 eV per atom
**Symmetry**: P1 (1)

---

# 3
Entry from Alexandria via LeMat-Bulk: an optimized crystal structure of Ta9Nb4Ru11 (PBE).

a = 3.036 Å, b = 11.495 Å, c = 11.495 Å
α = 102.19°, β = 90.00°, γ = 90.00°
Element x y z (fractional)
Ta (0.500, 0.500, 0.500)
Ta (0.500, 0.984, 0.796)
Ta (0.500, 0.397, 0.848)
Ta (0.500, 0.204, 0.016)
Ta (0.500, 0.848, 0.397)
Ta (0.500, 0.796, 0.984)
Ta (0.500, 0.152, 0.603)
Ta (0.500, 0.016, 0.204)
Ta (0.500, 0.603, 0.152)
Ru (0.000, 0.794, 0.794)
Ru (0.000, 0.206, 0.206)
Ru (0.000, 0.185, 0.815)
Ru (0.000, 0.000, 0.000)
Ru (0.000, 0.393, 0.049)
Ru (0.000, 0.360, 0.640)
Ru (0.000, 0.607, 0.951)
Ru (0.000, 0.815, 0.185)
Ru (0.000, 0.640, 0.360)
Ru (0.000, 0.049, 0.393)
Ru (0.000, 0.951, 0.607)
Nb (0.500, 0.416, 0.262)
Nb (0.500, 0.738, 0.584)
Nb (0.500, 0.262, 0.416)
Nb (0.500, 0.584, 0.738)

## Properties
**Volume**: 16.3 Å³ per atom
**E_form**: -0.25 eV per atom
**Symmetry**: Cmmm (65)

---

# 4
Entry from Alexandria via LeMat-Bulk: an optimized crystal structure of Ta6NbRu5 (PBE).

a = 4.455 Å, b = 6.527 Å, c = 7.795 Å
α = 114.75°, β = 106.60°, γ = 90.00°
Element x y z (fractional)
Ta (0.833, 0.584, 0.667)
Ta (0.167, 0.416, 0.333)
Ta (0.500, 0.751, 0.000)
Ta (0.833, 0.082, 0.667)
Ta (0.500, 0.249, 0.000)
Ta (0.167, 0.918, 0.333)
Ru (0.335, 0.335, 0.671)
Ru (0.673, 0.173, 0.345)
Ru (0.000, 0.500, 0.000)
Ru (0.327, 0.827, 0.655)
Ru (0.665, 0.665, 0.329)
Nb (0.000, 0.000, 0.000)

## Properties
**Volume**: 16.3 Å³ per atom
**E_form**: -0.33 eV per atom
**Symmetry**: Immm (71)

---

# 5
Entry from Alexandria via LeMat-Bulk: an optimized crystal structure of Ta2Nb3Ru (PBE).

a = 6.677 Å, b = 5.708 Å, c = 5.708 Å
α = 93.08°, β = 84.68°, γ = 84.68°
Element x y z (fractional)
Ta (0.373, 0.871, 0.378)
Ta (0.127, 0.622, 0.129)
Ta (0.627, 0.129, 0.622)
Ta (0.873, 0.378, 0.871)
Nb (0.250, 0.412, 0.588)
Nb (0.988, 0.147, 0.303)
Nb (0.012, 0.853, 0.697)
Nb (0.488, 0.303, 0.147)
Nb (0.750, 0.588, 0.412)
Nb (0.512, 0.697, 0.853)
Ru (0.250, 0.086, 0.914)
Ru (0.750, 0.914, 0.086)

## Properties
**Volume**: 17.9 Å³ per atom
**E_form**: 0.06 eV per atom
**Symmetry**: C2/c (15)

---

# 6
Entry from Alexandria via LeMat-Bulk: an optimized crystal structure of Ta4NbRu2 (PBE).

a = 5.292 Å, b = 9.581 Å, c = 7.404 Å
α = 111.77°, β = 44.36°, γ = 106.03°
Element x y z (fractional)
Ta (0.532, 0.692, 0.731)
Ta (0.556, 0.456, 0.343)
Ta (0.550, 0.168, 0.459)
Ta (0.281, 0.999, 0.888)
Ta (0.291, 0.593, 0.175)
Ta (0.038, 0.692, 0.731)
Ta (0.794, 0.180, 0.965)
Ta (0.040, 0.168, 0.459)
Ru (0.040, 0.450, 0.854)
Ru (0.284, 0.290, 0.031)
Ru (0.026, 0.916, 0.601)
Ru (0.785, 0.434, 0.601)
Nb (0.504, 0.909, 0.120)
Nb (0.779, 0.802, 0.292)

## Properties
**Volume**: 17.4 Å³ per atom
**E_form**: -0.11 eV per atom
**Symmetry**: P1 (1)

---

# 7
Entry from Alexandria via LeMat-Bulk: an optimized crystal structure of TaNbRu (PBE).

a = 2.879 Å, b = 4.482 Å, c = 4.482 Å
α = 120.00°, β = 90.00°, γ = 90.00°
Element x y z (fractional)
Nb (0.342, 0.667, 0.333)
Ta (0.989, 0.000, 0.000)
Ru (0.669, 0.333, 0.667)

## Properties
**Volume**: 16.7 Å³ per atom
**E_form**: -0.13 eV per atom
**Symmetry**: P3m1 (156)

---

# 8
Entry from Alexandria via LeMat-Bulk: an optimized crystal structure of Ta4Nb5Ru (PBE).

a = 3.274 Å, b = 3.274 Å, c = 16.570 Å
α = 90.00°, β = 90.00°, γ = 90.00°
Element x y z (fractional)
Ta (0.000, 0.000, 0.804)
Ta (0.000, 0.000, 0.196)
Ta (0.000, 0.000, 0.399)
Ta (0.000, 0.000, 0.601)
Nb (0.500, 0.500, 0.905)
Nb (0.500, 0.500, 0.500)
Nb (0.500, 0.500, 0.704)
Nb (0.500, 0.500, 0.296)
Nb (0.500, 0.500, 0.095)
Ru (0.000, 0.000, 0.000)

## Properties
**Volume**: 17.8 Å³ per atom
**E_form**: -0.09 eV per atom
**Symmetry**: P4/mmm (123)

---

# 9
Entry from Alexandria via LeMat-Bulk: an optimized crystal structure of TaNb6Ru (PBE).

a = 4.626 Å, b = 4.626 Å, c = 7.344 Å
α = 71.65°, β = 71.65°, γ = 90.00°
Element x y z (fractional)
Ru (0.000, 0.000, 0.000)
Nb (0.746, 0.746, 0.508)
Nb (0.623, 0.123, 0.754)
Nb (0.254, 0.254, 0.492)
Nb (0.123, 0.623, 0.754)
Nb (0.877, 0.377, 0.246)
Nb (0.377, 0.877, 0.246)
Ta (0.500, 0.500, 0.000)

## Properties
**Volume**: 17.6 Å³ per atom
**E_form**: -0.13 eV per atom
**Symmetry**: I4/mmm (139)

---

# 10
Entry from Alexandria via LeMat-Bulk: an optimized crystal structure of TaNbRu (PBE).

a = 5.583 Å, b = 4.536 Å, c = 4.536 Å
α = 60.00°, β = 90.00°, γ = 90.00°
Element x y z (fractional)
Ta (0.884, 0.746, 0.879)
Ta (0.554, 0.413, 0.545)
Ru (0.392, 0.746, 0.879)
Ru (0.716, 0.079, 0.212)
Nb (0.218, 0.079, 0.212)
Nb (0.054, 0.413, 0.545)

## Properties
**Volume**: 16.6 Å³ per atom
**E_form**: -0.31 eV per atom
**Symmetry**: P3m1 (156)

---

# 11
Entry from Alexandria via LeMat-Bulk: an optimized crystal structure of Ta2NbRu (PBE).

a = 4.568 Å, b = 4.568 Å, c = 4.568 Å
α = 60.00°, β = 60.00°, γ = 60.00°
Element x y z (fractional)
Ta (0.750, 0.750, 0.750)
Ta (0.250, 0.250, 0.250)
Nb (0.000, 0.000, 0.000)
Ru (0.500, 0.500, 0.500)

## Properties
**Volume**: 16.9 Å³ per atom
**E_form**: -0.27 eV per atom
**Symmetry**: Fm-3m (225)

---

# 12
Entry from Alexandria via LeMat-Bulk: an optimized crystal structure of TaNbRu6 (PBE).

a = 6.551 Å, b = 6.551 Å, c = 9.112 Å
α = 112.50°, β = 133.95°, γ = 60.14°
Element x y z (fractional)
Ru (0.163, 0.294, 0.457)
Ru (0.433, 0.081, 0.283)
Ru (0.837, 0.706, 0.543)
Ru (0.567, 0.919, 0.717)
Ru (0.798, 0.150, 0.717)
Ru (0.799, 0.649, 0.216)
Ru (0.838, 0.206, 0.045)
Ru (0.202, 0.850, 0.283)
Ru (0.433, 0.583, 0.784)
Ru (0.567, 0.417, 0.216)
Ru (0.201, 0.351, 0.784)
Ru (0.162, 0.794, 0.955)
Nb (0.500, 0.500, 0.500)
Nb (0.000, 0.000, 0.500)
Ta (0.500, 0.000, 0.000)
Ta (0.000, 0.500, 0.000)

## Properties
**Volume**: 15.2 Å³ per atom
**E_form**: -0.06 eV per atom
**Symmetry**: C2/m (12)

---

# 13
Entry from Alexandria via LeMat-Bulk: an optimized crystal structure of Ta2Nb4Ru (PBE).

a = 2.811 Å, b = 7.231 Å, c = 7.171 Å
α = 62.29°, β = 83.81°, γ = 98.50°
Element x y z (fractional)
Nb (0.395, 0.426, 0.857)
Nb (0.963, 0.717, 0.427)
Nb (0.605, 0.574, 0.143)
Nb (0.037, 0.283, 0.573)
Ta (0.747, 0.141, 0.281)
Ta (0.253, 0.859, 0.719)
Ru (0.000, 0.000, 0.000)

## Properties
**Volume**: 17.9 Å³ per atom
**E_form**: 0.04 eV per atom
**Symmetry**: P-1 (2)

---

# 14
Entry from Alexandria via LeMat-Bulk: an optimized crystal structure of Ta2NbRu (PBE).

a = 7.314 Å, b = 7.314 Å, c = 5.863 Å
α = 51.41°, β = 51.41°, γ = 90.00°
Element x y z (fractional)
Ta (0.875, 0.900, 0.750)
Ta (0.650, 0.125, 0.250)
Ta (0.375, 0.350, 0.750)
Ta (0.100, 0.625, 0.250)
Ru (0.750, 0.250, 0.500)
Ru (0.000, 0.000, 0.000)
Nb (0.250, 0.750, 0.500)
Nb (0.500, 0.500, 0.000)

## Properties
**Volume**: 18.5 Å³ per atom
**E_form**: 0.42 eV per atom
**Symmetry**: I-42d (122)

---

# 15
Entry from Alexandria via LeMat-Bulk: an optimized crystal structure of TaNb3Ru (PBE).

a = 3.235 Å, b = 6.454 Å, c = 8.812 Å
α = 90.00°, β = 100.58°, γ = 90.00°
Element x y z (fractional)
Ru (0.678, 0.160, 0.355)
Ru (0.322, 0.660, 0.645)
Ta (0.900, 0.907, 0.800)
Ta (0.100, 0.407, 0.200)
Nb (0.293, 0.161, 0.586)
Nb (0.098, 0.909, 0.195)
Nb (0.707, 0.661, 0.414)
Nb (0.503, 0.658, 0.007)
Nb (0.497, 0.158, 0.993)
Nb (0.902, 0.409, 0.805)

## Properties
**Volume**: 18.1 Å³ per atom
**E_form**: 0.03 eV per atom
**Symmetry**: Cmc2_1 (36)

---

# 16
Entry from Alexandria via LeMat-Bulk: an optimized crystal structure of TaNb3Ru4 (PBE).

a = 3.064 Å, b = 3.064 Å, c = 13.763 Å
α = 90.00°, β = 90.00°, γ = 90.00°
Element x y z (fractional)
Ru (0.000, 0.000, 0.116)
Ru (0.000, 0.000, 0.884)
Ru (0.000, 0.000, 0.617)
Ru (0.000, 0.000, 0.383)
Nb (0.500, 0.500, 0.500)
Nb (0.500, 0.500, 0.250)
Nb (0.500, 0.500, 0.750)
Ta (0.500, 0.500, 0.000)

## Properties
**Volume**: 16.1 Å³ per atom
**E_form**: -0.24 eV per atom
**Symmetry**: P4/mmm (123)

---

# 17
Entry from Alexandria via LeMat-Bulk: an optimized crystal structure of Ta4NbRu3 (PBE).

a = 4.532 Å, b = 6.398 Å, c = 9.063 Å
α = 90.00°, β = 90.00°, γ = 90.00°
Element x y z (fractional)
Ta (0.500, 0.750, 0.500)
Ta (0.500, 0.250, 0.500)
Ta (0.000, 0.750, 0.250)
Ta (0.500, 0.250, 0.000)
Ta (0.000, 0.250, 0.750)
Ta (0.000, 0.750, 0.750)
Ta (0.000, 0.250, 0.250)
Ta (0.500, 0.750, 0.000)
Ru (0.000, 0.000, 0.500)
Ru (0.500, 0.000, 0.750)
Ru (0.500, 0.000, 0.250)
Ru (0.500, 0.500, 0.250)
Ru (0.000, 0.000, 0.000)
Ru (0.500, 0.500, 0.750)
Nb (0.000, 0.500, 0.000)
Nb (0.000, 0.500, 0.500)

## Properties
**Volume**: 16.4 Å³ per atom
**E_form**: -0.33 eV per atom
**Symmetry**: P4/mmm (123)

---

# 18
Entry from Alexandria via LeMat-Bulk: an optimized crystal structure of Ta4Nb5Ru (PBE).

a = 4.394 Å, b = 6.472 Å, c = 7.706 Å
α = 111.20°, β = 106.57°, γ = 90.00°
Element x y z (fractional)
Nb (0.827, 0.356, 0.653)
Nb (0.183, 0.219, 0.366)
Nb (0.173, 0.644, 0.346)
Nb (0.817, 0.781, 0.634)
Nb (0.500, 0.500, 0.000)
Ta (0.336, 0.072, 0.673)
Ta (0.664, 0.928, 0.327)
Ta (0.996, 0.239, 0.993)
Ta (0.004, 0.761, 0.007)
Ru (0.500, 0.000, 0.000)

## Properties
**Volume**: 19.5 Å³ per atom
**E_form**: 0.38 eV per atom
**Symmetry**: C2/m (12)

---

# 19
Entry from Alexandria via LeMat-Bulk: an optimized crystal structure of Ta14NbRu (PBE).

a = 5.722 Å, b = 5.722 Å, c = 9.303 Å
α = 90.00°, β = 90.00°, γ = 109.36°
Element x y z (fractional)
Ta (0.373, 0.627, 0.752)
Ta (0.625, 0.375, 0.000)
Ta (0.378, 0.128, 0.257)
Ta (0.877, 0.123, 0.248)
Ta (0.625, 0.875, 0.500)
Ta (0.373, 0.627, 0.248)
Ta (0.125, 0.375, 0.500)
Ta (0.877, 0.123, 0.752)
Ta (0.125, 0.875, 0.000)
Ta (0.872, 0.622, 0.743)
Ta (0.872, 0.622, 0.257)
Ta (0.378, 0.128, 0.743)
Ta (0.125, 0.375, 0.000)
Ta (0.625, 0.875, 0.000)
Nb (0.125, 0.875, 0.500)
Ru (0.625, 0.375, 0.500)

## Properties
**Volume**: 18.0 Å³ per atom
**E_form**: -0.07 eV per atom
**Symmetry**: Cmmm (65)

---

# 20
Entry from Alexandria via LeMat-Bulk: an optimized crystal structure of Ta4Nb2Ru (PBE).

a = 2.839 Å, b = 7.208 Å, c = 7.248 Å
α = 61.05°, β = 81.09°, γ = 96.51°
Element x y z (fractional)
Nb (0.749, 0.145, 0.284)
Nb (0.251, 0.855, 0.716)
Ru (0.000, 0.000, 0.000)
Ta (0.394, 0.424, 0.856)
Ta (0.019, 0.280, 0.579)
Ta (0.606, 0.576, 0.144)
Ta (0.981, 0.720, 0.421)

## Properties
**Volume**: 17.9 Å³ per atom
**E_form**: 0.03 eV per atom
**Symmetry**: P-1 (2)

---

# 21
Entry from Alexandria via LeMat-Bulk: an optimized crystal structure of TaNb6Ru (PBE).

a = 5.827 Å, b = 5.827 Å, c = 5.827 Å
α = 110.74°, β = 110.74°, γ = 110.74°
Element x y z (fractional)
Nb (0.750, 0.257, 0.750)
Nb (0.743, 0.250, 0.250)
Nb (0.250, 0.743, 0.250)
Nb (0.250, 0.250, 0.743)
Nb (0.750, 0.750, 0.257)
Nb (0.257, 0.750, 0.750)
Ta (0.000, 0.000, 0.000)
Ru (0.500, 0.500, 0.500)

## Properties
**Volume**: 18.1 Å³ per atom
**E_form**: 0.08 eV per atom
**Symmetry**: R-3m (166)

---

# 22
Entry from Alexandria via LeMat-Bulk: an optimized crystal structure of TaNbRu (PBE).

a = 3.006 Å, b = 3.005 Å, c = 11.695 Å
α = 97.38°, β = 92.22°, γ = 90.00°
Element x y z (fractional)
Nb (0.089, 0.823, 0.647)
Nb (0.515, 0.418, 0.836)
Ru (0.076, 0.138, 0.276)
Ru (0.036, 0.998, 0.996)
Ta (0.587, 0.718, 0.435)
Ta (0.556, 0.567, 0.135)

## Properties
**Volume**: 17.4 Å³ per atom
**E_form**: -0.03 eV per atom
**Symmetry**: Cm (8)